Record 1
PBE-GGA RbSn2As, relaxed; space-group type = R-3m; energy relative to the elements = -0.013 eV per atom
1.0
3.9499 0.0000 0.0000
1.9749 3.4207 0.0000
1.9749 1.1402 9.6373
As Sn Rb
1 2 1
Direct
0.0000 0.0000 0.0000
0.2729 0.2729 0.1812
0.7271 0.7271 0.8188
0.5000 0.5000 0.5000

Record 2
PBE-GGA RbSn3As, relaxed; energy above the lowest structure with this stoichiometry = 128.46 kJ/mol of atoms; space-group type = Pm-3m; energy relative to the elements = 1.568 eV per atom
1.0
5.9852 0.0000 0.0000
0.0000 5.9852 0.0000
0.0000 0.0000 5.9852
As Sn Rb
1 3 1
Direct
0.5000 0.5000 0.5000
0.0000 0.5000 0.0000
0.0000 0.0000 0.5000
0.5000 0.0000 0.0000
0.0000 0.0000 0.0000

Record 3
PBE-GGA RbSn2As, relaxed; space-group type = I-42d; energy relative to the elements = -0.002 eV per atom
1.0
5.5351 0.0000 0.0000
0.0000 5.5351 0.0000
2.7676 2.7676 9.8684
As Sn Rb
2 4 2
Direct
0.5000 0.5000 0.0000
0.2500 0.7500 0.5000
0.4758 0.1250 0.2500
0.2742 0.6250 0.2500
0.3750 0.5242 0.7500
0.8750 0.7258 0.7500
0.0000 0.0000 0.0000
0.7500 0.2500 0.5000

Record 4
PBE-GGA RbSn2As2, relaxed; space-group type = P4/mbm; energy relative to the elements = -0.036 eV per atom
1.0
-1.8475 1.7894 -8.4613
4.5778 -7.1384 -2.5092
-3.0753 -2.0554 0.2368
As Sn Rb
4 4 2
Direct
0.1423 0.6423 0.5000
0.6423 0.8577 0.5000
0.8577 0.3577 0.5000
0.3577 0.1423 0.5000
0.3765 0.8765 0.0000
0.8765 0.6235 0.0000
0.6235 0.1235 0.0000
0.1235 0.3765 0.0000
0.0000 0.0000 0.0000
0.5000 0.5000 0.0000

Record 5
PBE-GGA RbSn2As2, relaxed; space-group type = P4/mbm; energy relative to the elements = -0.052 eV per atom
1.0
-8.2374 2.9021 -0.5105
-2.8617 -8.2402 -0.6688
-0.3020 -0.1989 3.7425
As Sn Rb
4 4 2
Direct
0.3726 0.8726 0.0000
0.8726 0.6274 0.0000
0.6274 0.1274 0.0000
0.1274 0.3726 0.0000
0.1361 0.6361 0.5000
0.6361 0.8639 0.5000
0.8639 0.3639 0.5000
0.3639 0.1361 0.5000
0.0000 0.0000 0.0000
0.5000 0.5000 0.0000

Record 6
PBE-GGA Rb2SnAs, relaxed; energy above the lowest structure with this stoichiometry = 36.02 kJ/mol of atoms; space-group type = Fm-3m; energy relative to the elements = 0.175 eV per atom
1.0
0.0000 4.2034 4.2034
4.2034 0.0000 4.2034
4.2034 4.2034 0.0000
As Sn Rb
1 1 2
Direct
0.0000 0.0000 0.0000
0.5000 0.5000 0.5000
0.2500 0.2500 0.2500
0.7500 0.7500 0.7500

Record 7
PBE-GGA RbSn3As, relaxed; energy above the lowest structure with this stoichiometry = 0.00 kJ/mol of atoms; space-group type = Pm-3m; energy relative to the elements = 0.237 eV per atom
1.0
-4.7598 1.1691 2.7890
-2.6068 -4.2226 -2.6788
1.5330 -3.5502 4.1045
As Sn Rb
1 3 1
Direct
0.0000 0.0000 0.0000
0.0000 0.5000 0.0000
0.0000 0.0000 0.5000
0.5000 0.0000 0.0000
0.5000 0.5000 0.5000

Record 8
PBE-GGA RbSn2As, relaxed; space-group type = P2_1/m; energy relative to the elements = -0.145 eV per atom
1.0
-1.2263 -3.7430 0.4743
1.6763 0.6452 -7.1417
8.9564 -2.6988 1.8585
Rb Sn As
2 4 2
Direct
0.5298 0.0614 0.2500
0.4702 0.9386 0.7500
0.1766 0.3511 0.5685
0.8234 0.6489 0.4315
0.1766 0.3511 0.9315
0.8234 0.6489 0.0685
0.7673 0.5311 0.7500
0.2327 0.4689 0.2500

Record 9
PBE-GGA Rb2SnAs, relaxed; energy above the lowest structure with this stoichiometry = 0.00 kJ/mol of atoms; space-group type = P1; energy relative to the elements = -0.199 eV per atom
1.0
6.1876 0.0041 0.0004
0.0038 5.1943 -1.2512
-3.0915 -3.8929 6.4260
Rb Sn As
2 1 1
Direct
0.1667 0.1520 0.3385
0.8270 0.8637 0.6613
0.5415 0.5116 0.0016
0.4649 0.0087 0.9986

Record 10
PBE-GGA RbTl2SnAs2, relaxed; space-group type = Pmc2_1; energy relative to the elements = -0.127 eV per atom
1.0
4.3845 0.0000 0.0000
0.0000 8.0645 0.0000
0.0000 0.0000 10.9049
Rb Tl Sn As
2 4 2 4
Direct
0.0000 0.9990 0.4303
0.0000 0.4990 0.5697
0.5000 0.0208 0.0573
0.0000 0.3326 0.1585
0.5000 0.5208 0.9427
0.0000 0.8326 0.8415
0.5000 0.1519 0.7055
0.5000 0.6519 0.2945
0.0000 0.2225 0.8567
0.5000 0.3187 0.3294
0.0000 0.7225 0.1433
0.5000 0.8187 0.6706

Record 11
PBE-GGA RbZnSnAs, relaxed; space-group type = P4/nmm; energy relative to the elements = -0.249 eV per atom
1.0
-1.3565 -0.5398 3.9304
-1.1394 -3.9258 -0.9323
12.7704 -4.6028 3.7751
Rb Zn Sn As
2 2 2 2
Direct
0.7500 0.7500 0.2407
0.2500 0.2500 0.7593
0.7500 0.2500 0.0000
0.2500 0.7500 0.0000
0.2500 0.7500 0.5000
0.7500 0.2500 0.5000
0.7500 0.7500 0.8913
0.2500 0.2500 0.1087

Record 12
PBE-GGA Rb2Sr2As, relaxed; space-group type = P4/mbm; energy relative to the elements = -0.259 eV per atom
1.0
-5.0098 -0.5210 -6.7561
-5.7389 -4.1411 4.5749
-3.2923 6.6897 1.9254
Sr As Rb
4 2 4
Direct
0.3175 0.8175 0.0000
0.8175 0.6825 0.0000
0.6825 0.1825 0.0000
0.1825 0.3175 0.0000
0.0000 0.0000 0.0000
0.5000 0.5000 0.0000
0.1795 0.6795 0.5000
0.6795 0.8205 0.5000
0.8205 0.3205 0.5000
0.3205 0.1795 0.5000

Among the records above, which one has the highest energy relative to the elements?
number 2